(1)
First-principles (GGA-PBE) data for a geometry-optimized PaTiCuRe structure, as listed in Alexandria.

abc: 4.6567 4.6567 4.6567
angles: 60.00 60.00 60.00
Closest atoms and distances in Å follow each position.
Sites, in units of the cell vectors:
1 Pa 0.0000 0.0000 0.0000  4 Re 2.85, 4 Cu 2.85
2 Ti 0.5000 0.5000 0.5000  4 Re 2.85, 4 Cu 2.85
3 Cu 0.7500 0.7500 0.7500  4 Pa 2.85, 4 Ti 2.85
4 Re 0.2500 0.2500 0.2500  4 Pa 2.85, 4 Ti 2.85

Properties
Crystal system: cubic
Size of the total moment, μB per cell: 0.33
E_tot, eV per atom: -8.4695
ΔH_f (0 K), eV/atom: 0.014

=====

(2)
First-principles (GGA-PBE) data for a geometry-optimized TmPaCuRe structure, as listed in Alexandria.

abc: 4.8532 4.8532 4.8532
angles: 60.00 60.00 60.00
Closest atoms and distances in Å follow each position.
Sites, in units of the cell vectors:
1 Tm 0.0000 0.0000 0.0000  4 Cu 2.97, 4 Re 2.97
2 Pa 0.5000 0.5000 0.5000  4 Re 2.97, 4 Cu 2.97
3 Cu 0.7500 0.7500 0.7500  4 Pa 2.97, 4 Tm 2.97
4 Re 0.2500 0.2500 0.2500  4 Pa 2.97, 4 Tm 2.97

Properties
Crystal system: cubic
Size of the total moment, μB per cell: 0.00
E_tot, eV per atom: -7.6465
ΔH_f (0 K), eV/atom: -0.019

=====

(3)
First-principles (GGA-PBE) data for a geometry-optimized ZrPaCuRe structure, as listed in Alexandria.

abc: 4.7808 4.7808 4.7808
angles: 60.00 60.00 60.00
Closest atoms and distances in Å follow each position.
Sites, in units of the cell vectors:
1 Zr 0.0000 0.0000 0.0000  4 Re 2.93, 4 Cu 2.93
2 Pa 0.5000 0.5000 0.5000  4 Re 2.93, 4 Cu 2.93
3 Cu 0.2500 0.2500 0.2500  4 Zr 2.93, 4 Pa 2.93
4 Re 0.7500 0.7500 0.7500  4 Pa 2.93, 4 Zr 2.93

Properties
Crystal system: cubic
Size of the total moment, μB per cell: 0.00
E_tot, eV per atom: -8.6742
ΔH_f (0 K), eV/atom: -0.027

=====

(4)
First-principles (GGA-PBE) data for a geometry-optimized Pa4CuRh12 structure, as listed in Alexandria.

abc: 7.1860 7.1860 7.1860
angles: 109.47 109.47 109.47
Closest atoms and distances in Å follow each position.
Sites, in units of the cell vectors:
1 Pa 0.0000 0.0000 0.5000  12 Rh 2.93-2.95
2 Pa 0.0000 0.5000 0.0000  12 Rh 2.93-2.95
3 Pa 0.5000 0.0000 0.0000  12 Rh 2.93-2.95
4 Pa 0.5000 0.5000 0.5000  12 Rh 2.93-2.95
5 Cu 0.0000 0.0000 0.0000  6 Rh 2.37
6 Rh 0.0000 0.2851 0.2851  1 Cu 2.37
7 Rh 0.0000 0.7149 0.7149  1 Cu 2.37
8 Rh 0.2500 0.5000 0.7500  8 Rh 2.74-2.93, 4 Pa 2.93
9 Rh 0.2500 0.7500 0.5000  8 Rh 2.74-2.93, 4 Pa 2.93
10 Rh 0.2851 0.0000 0.2851  1 Cu 2.37
11 Rh 0.2851 0.2851 0.0000  1 Cu 2.37
12 Rh 0.5000 0.2500 0.7500  8 Rh 2.74-2.93, 4 Pa 2.93
13 Rh 0.5000 0.7500 0.2500  8 Rh 2.74-2.93, 4 Pa 2.93
14 Rh 0.7149 0.0000 0.7149  1 Cu 2.37
15 Rh 0.7149 0.7149 0.0000  1 Cu 2.37
16 Rh 0.7500 0.2500 0.5000  8 Rh 2.74-2.93, 4 Pa 2.93
17 Rh 0.7500 0.5000 0.2500  8 Rh 2.74-2.93, 4 Pa 2.93

Properties
Crystal system: cubic
Size of the total moment, μB per cell: 0.00
E_tot, eV per atom: -8.3766
ΔH_f (0 K), eV/atom: -0.712

=====

(5)
First-principles (GGA-PBE) data for a geometry-optimized PaCuRh structure, as listed in Alexandria.

abc: 6.0817 6.0817 6.0817
angles: 139.61 129.40 66.64
Closest atoms and distances in Å follow each position.
Sites, in units of the cell vectors:
1 Pa 0.1740 0.1740 0.0000  4 Rh 2.63-2.87
2 Pa 0.8260 0.8260 0.0000  4 Rh 2.63-2.87
3 Cu 0.2573 0.5000 0.7573  2 Cu 2.52-2.67, 4 Rh 2.80
4 Cu 0.7427 0.5000 0.2427  2 Cu 2.52-2.67, 4 Rh 2.80
5 Rh 0.3668 0.8668 0.5000  4 Pa 2.63-2.87, 1 Rh 2.71, 4 Cu 2.80
6 Rh 0.6332 0.1332 0.5000  4 Pa 2.63-2.87, 1 Rh 2.71, 4 Cu 2.80

Properties
Crystal system: orthorhombic
Size of the total moment, μB per cell: 0.00
Excess energy over the best structure of this formula in the dataset, meV per atom: 0
E_tot, eV per atom: -7.4702
ΔH_f (0 K), eV/atom: -0.489

=====

(6)
First-principles (GGA-PBE) data for a geometry-optimized PaCu2Rh structure, as listed in Alexandria.

abc: 4.3937 6.5618 4.9529
angles: 90.00 109.00 90.00
Closest atoms and distances in Å follow each position.
Sites, in units of the cell vectors:
1 Pa 0.0578 0.2500 0.1722  2 Rh 2.54-2.65
2 Pa 0.9422 0.7500 0.8278  2 Rh 2.54-2.65
3 Cu 0.4238 0.0544 0.7436  3 Cu 2.51-2.80, 3 Rh 2.62-2.69
4 Cu 0.4238 0.4456 0.7436  3 Cu 2.51-2.80, 3 Rh 2.62-2.69
5 Cu 0.5762 0.5544 0.2564  3 Cu 2.51-2.80, 3 Rh 2.62-2.69
6 Cu 0.5762 0.9456 0.2564  3 Cu 2.51-2.80, 3 Rh 2.62-2.69
7 Rh 0.1283 0.7500 0.3928  2 Pa 2.54-2.65, 6 Cu 2.62-2.69
8 Rh 0.8717 0.2500 0.6072  2 Pa 2.54-2.65, 6 Cu 2.62-2.69

Properties
Crystal system: monoclinic
Size of the total moment, μB per cell: 0.00
Excess energy over the best structure of this formula in the dataset, meV per atom: 0
E_tot, eV per atom: -6.5739
ΔH_f (0 K), eV/atom: -0.314

=====

(7)
First-principles (GGA-PBE) data for a geometry-optimized PaCu2Rh5 structure, as listed in Alexandria.

abc: 7.7575 7.7575 7.7575
angles: 149.45 149.45 43.75
Closest atoms and distances in Å follow each position.
Sites, in units of the cell vectors:
1 Pa 0.0000 0.0000 0.0000  12 Rh 2.82-2.89
2 Cu 0.2525 0.2525 0.0000  8 Rh 2.61-2.65, 4 Cu 2.89
3 Cu 0.7475 0.7475 0.0000  8 Rh 2.61-2.65, 4 Cu 2.89
4 Rh 0.1349 0.6349 0.5000  4 Cu 2.61-2.65, 2 Pa 2.82, 6 Rh 2.82-2.89
5 Rh 0.3651 0.8651 0.5000  4 Cu 2.61-2.65, 2 Pa 2.82, 6 Rh 2.82-2.89
6 Rh 0.5000 0.5000 0.0000  8 Rh 2.82, 4 Pa 2.89
7 Rh 0.6349 0.1349 0.5000  4 Cu 2.61-2.65, 2 Pa 2.82, 6 Rh 2.82-2.89
8 Rh 0.8651 0.3651 0.5000  4 Cu 2.61-2.65, 2 Pa 2.82, 6 Rh 2.82-2.89

Properties
Crystal system: tetragonal
Size of the total moment, μB per cell: 0.00
E_tot, eV per atom: -7.2052
ΔH_f (0 K), eV/atom: -0.399

=====

(8)
First-principles (GGA-PBE) data for a geometry-optimized PaCuRh structure, as listed in Alexandria.

abc: 5.3198 5.2995 7.8460
angles: 90.00 90.06 90.00
Closest atoms and distances in Å follow each position.
Sites, in units of the cell vectors:
1 Pa 0.1891 0.2500 0.0896  5 Rh 2.74-2.91
2 Pa 0.1890 0.7500 0.4100  5 Rh 2.74-2.91
3 Pa 0.8110 0.2500 0.5900  5 Rh 2.74-2.91
4 Pa 0.8109 0.7500 0.9104  5 Rh 2.74-2.91
5 Cu 0.3367 0.0000 0.7499  2 Cu 2.65, 4 Rh 2.70-2.82
6 Cu 0.3367 0.5000 0.7499  2 Cu 2.65, 4 Rh 2.70-2.82
7 Cu 0.6633 0.0000 0.2501  2 Cu 2.65, 4 Rh 2.70-2.82
8 Cu 0.6633 0.5000 0.2501  2 Cu 2.65, 4 Rh 2.70-2.82
9 Rh 0.3025 0.2500 0.4514  4 Cu 2.70-2.82, 5 Pa 2.74-2.91
10 Rh 0.3025 0.7500 0.0482  4 Cu 2.70-2.82, 5 Pa 2.74-2.91
11 Rh 0.6975 0.2500 0.9518  4 Cu 2.70-2.82, 5 Pa 2.74-2.91
12 Rh 0.6975 0.7500 0.5486  4 Cu 2.70-2.82, 5 Pa 2.74-2.91

Properties
Crystal system: monoclinic
Size of the total moment, μB per cell: 0.00
Excess energy over the best structure of this formula in the dataset, meV per atom: 20
E_tot, eV per atom: -7.4504
ΔH_f (0 K), eV/atom: -0.469

=====

(9)
First-principles (GGA-PBE) data for a geometry-optimized PaCu4Rh structure, as listed in Alexandria.

abc: 4.9806 4.9806 4.9806
angles: 60.00 60.00 60.00
Closest atoms and distances in Å follow each position.
Sites, in units of the cell vectors:
1 Pa 0.0000 0.0000 0.0000  12 Cu 2.92, 4 Rh 3.05
2 Cu 0.3760 0.3760 0.3760  6 Cu 2.47-2.51
3 Cu 0.3760 0.3760 0.8720  6 Cu 2.47-2.51
4 Cu 0.3760 0.8720 0.3760  6 Cu 2.47-2.51
5 Cu 0.8720 0.3760 0.3760  6 Cu 2.47-2.51
6 Rh 0.7500 0.7500 0.7500  12 Cu 2.92, 4 Pa 3.05

Properties
Crystal system: cubic
Size of the total moment, μB per cell: 0.00
E_tot, eV per atom: -5.7822
ΔH_f (0 K), eV/atom: -0.244

=====

(10)
First-principles (GGA-PBE) data for a geometry-optimized PaCuRh4 structure, as listed in Alexandria.

abc: 4.9517 4.9517 5.8022
angles: 108.25 108.25 44.92
Closest atoms and distances in Å follow each position.
Sites, in units of the cell vectors:
1 Pa 0.0000 0.0000 0.0000  10 Rh 2.78-2.92, 2 Cu 2.90
2 Cu 0.0000 0.0000 0.5000  10 Rh 2.71-2.90, 2 Pa 2.90
3 Rh 0.3362 0.3362 0.6591  7 Rh 2.74-3.02, 3 Cu 2.76-2.90, 2 Pa 2.78
4 Rh 0.3389 0.3389 0.1816  2 Cu 2.71, 7 Rh 2.78-3.02, 3 Pa 2.81-2.92
5 Rh 0.6611 0.6611 0.8184  2 Cu 2.71, 7 Rh 2.78-3.02, 3 Pa 2.81-2.92
6 Rh 0.6638 0.6638 0.3409  7 Rh 2.74-3.02, 3 Cu 2.76-2.90, 2 Pa 2.78

Properties
Crystal system: monoclinic
Size of the total moment, μB per cell: 0.00
E_tot, eV per atom: -7.5959
ΔH_f (0 K), eV/atom: -0.430

=====

(11)
First-principles (GGA-PBE) data for a geometry-optimized PaCuRh structure, as listed in Alexandria.

abc: 4.4672 4.4672 3.1284
angles: 90.00 90.00 120.00
Closest atoms and distances in Å follow each position.
Sites, in units of the cell vectors:
1 Pa 0.0000 0.0000 0.0000  6 Rh 3.02, 6 Cu 3.02, 2 Pa 3.13
2 Cu 0.3333 0.6667 0.5000  3 Rh 2.58
3 Rh 0.6667 0.3333 0.5000  3 Cu 2.58

Properties
Crystal system: hexagonal
Size of the total moment, μB per cell: 0.00
Excess energy over the best structure of this formula in the dataset, meV per atom: 142
E_tot, eV per atom: -7.3285
ΔH_f (0 K), eV/atom: -0.347

=====

(12)
First-principles (GGA-PBE) data for a geometry-optimized PaCu2Rh structure, as listed in Alexandria.

abc: 4.8645 4.8645 4.8645
angles: 52.98 52.98 52.98
Closest atoms and distances in Å follow each position.
Sites, in units of the cell vectors:
1 Pa 0.0000 0.0000 0.0000  8 Cu 2.76-2.87
2 Cu 0.2210 0.2210 0.2210  3 Rh 2.60, 4 Pa 2.76-2.87, 3 Cu 2.85
3 Cu 0.7790 0.7790 0.7790  3 Rh 2.60, 4 Pa 2.76-2.87, 3 Cu 2.85
4 Rh 0.5000 0.5000 0.5000  6 Cu 2.60

Properties
Crystal system: trigonal
Size of the total moment, μB per cell: 0.00
Excess energy over the best structure of this formula in the dataset, meV per atom: 249
E_tot, eV per atom: -6.3247
ΔH_f (0 K), eV/atom: -0.065

=====

- What is the ΔH_f (0 K) in the first record?
  0.014 eV/atom

=====

- Which formula does entry 7 have?
  PaCu2Rh5

=====

- What is the formula in the twelfth record?
  PaCu2Rh

=====

- Which formula does entry 7 have?
  PaCu2Rh5